# LiTcAu2 (PBE-GGA, optimized geometry)
# Energy relative to the elements ... 0.6 eV per formula unit
# Crystal system ... cubic
# Energy relative to the lowest polymorph listed for this composition ... 191 meV/atom
data_LiTcAu2
_space_group_name_H-M_alt 'F m -3 m'
_space_group_IT_number 225
_space_group_name_Hall '-F 4 2 3'
_cell_length_a 6.4050
_cell_length_b 6.4050
_cell_length_c 6.4050
_cell_angle_alpha 90.00
_cell_angle_beta 90.00
_cell_angle_gamma 90.00
loop_
_atom_site_label
_atom_site_type_symbol
_atom_site_fract_x
_atom_site_fract_y
_atom_site_fract_z
Li1 Li 0.0000 0.0000 0.0000
Tc1 Tc 0.0000 0.0000 0.5000
Au1 Au 0.2500 0.2500 0.2500

=====

# K2HgBr6 (PBE-GGA, optimized geometry)
# Crystal system ... monoclinic
# E_form (uncorrected) ... -7.29 eV/f.u.
data_K2HgBr6
_space_group_name_H-M_alt 'P 1 21/c 1'
_space_group_IT_number 14
_space_group_name_Hall '-P 2ybc'
_cell_length_a 8.1846
_cell_length_b 7.4341
_cell_length_c 13.4330
_cell_angle_alpha 90.00
_cell_angle_beta 127.45
_cell_angle_gamma 90.00
loop_
_atom_site_label
_atom_site_type_symbol
_atom_site_fract_x
_atom_site_fract_y
_atom_site_fract_z
K1 K 0.2285 0.0828 0.2017
Hg1 Hg 0.5000 0.0000 0.0000
Br1 Br 0.1953 0.2170 0.9143
Br2 Br 0.2394 0.7300 0.0245
Br3 Br 0.3291 0.6088 0.2610

=====

# LuAlAu (PBE-GGA, optimized geometry)
# Energy relative to the elements ... -2.4 eV per formula unit
# Crystal system ... hexagonal
data_LuAlAu
_space_group_name_H-M_alt 'P -6 2 m'
_space_group_IT_number 189
_space_group_name_Hall 'P -6 -2'
_cell_length_a 7.3095
_cell_length_b 7.3095
_cell_length_c 3.9262
_cell_angle_alpha 90.00
_cell_angle_beta 90.00
_cell_angle_gamma 120.00
loop_
_atom_site_label
_atom_site_type_symbol
_atom_site_fract_x
_atom_site_fract_y
_atom_site_fract_z
Lu1 Lu 0.0000 0.4110 0.0000
Al1 Al 0.0000 0.7504 0.5000
Au1 Au 0.0000 0.0000 0.0000
Au2 Au 0.3333 0.6667 0.5000

=====

# La4TbNd3 (PBE-GGA, optimized geometry)
# Energy relative to the elements ... 2.7 eV per formula unit
# Crystal system ... orthorhombic
# Energy relative to the lowest polymorph listed for this composition ... 139 meV/atom
data_La4TbNd3
_space_group_name_H-M_alt 'C m m m'
_space_group_IT_number 65
_space_group_name_Hall '-C 2 2'
_cell_length_a 12.0031
_cell_length_b 13.7543
_cell_length_c 3.4855
_cell_angle_alpha 90.00
_cell_angle_beta 90.00
_cell_angle_gamma 90.00
loop_
_atom_site_label
_atom_site_type_symbol
_atom_site_fract_x
_atom_site_fract_y
_atom_site_fract_z
La1 La 0.0000 0.2460 0.0000
La2 La 0.2489 0.0000 0.5000
Tb1 Tb 0.0000 0.0000 0.0000
Nd1 Nd 0.0000 0.5000 0.0000
Nd2 Nd 0.2500 0.2500 0.5000

=====

# Cs2NdPdBr6 (PBE-GGA, optimized geometry)
# Crystal system ... trigonal
# E_form (uncorrected) ... -14.56 eV/f.u.
data_Cs2NdPdBr6
_space_group_name_H-M_alt 'R -3 m'
_space_group_IT_number 166
_space_group_name_Hall '-R 3 2"'
_cell_length_a 8.0501
_cell_length_b 8.0501
_cell_length_c 39.6720
_cell_angle_alpha 90.00
_cell_angle_beta 90.00
_cell_angle_gamma 120.00
loop_
_atom_site_label
_atom_site_type_symbol
_atom_site_fract_x
_atom_site_fract_y
_atom_site_fract_z
Cs1 Cs 0.0000 0.0000 0.1248
Cs2 Cs 0.0000 0.0000 0.2939
Nd1 Nd 0.0000 0.0000 0.4167
Pd1 Pd 0.0000 0.0000 0.0000
Pd2 Pd 0.0000 0.0000 0.5000
Br1 Br 0.0020 0.5010 0.8736
Br2 Br 0.0064 0.5032 0.7079

=====

# SbMo2Ir (PBE-GGA, optimized geometry)
# Crystal system ... orthorhombic
# E_form (uncorrected) ... 0.89 eV/f.u.
data_SbMo2Ir
_space_group_name_H-M_alt 'C m m m'
_space_group_IT_number 65
_space_group_name_Hall '-C 2 2'
_cell_length_a 5.2914
_cell_length_b 8.5756
_cell_length_c 2.9454
_cell_angle_alpha 90.00
_cell_angle_beta 90.00
_cell_angle_gamma 90.00
loop_
_atom_site_label
_atom_site_type_symbol
_atom_site_fract_x
_atom_site_fract_y
_atom_site_fract_z
Sb1 Sb 0.0000 0.0000 0.0000
Mo1 Mo 0.2500 0.2500 0.5000
Ir1 Ir 0.0000 0.5000 0.0000

=====

# NdAg12 (PBE-GGA, optimized geometry)
# Energy relative to the elements ... -0.4 eV per formula unit
# Crystal system ... tetragonal
data_NdAg12
_space_group_name_H-M_alt 'I 4/m m m'
_space_group_IT_number 139
_space_group_name_Hall '-I 4 2'
_cell_length_a 9.6159
_cell_length_b 9.6159
_cell_length_c 5.5343
_cell_angle_alpha 90.00
_cell_angle_beta 90.00
_cell_angle_gamma 90.00
loop_
_atom_site_label
_atom_site_type_symbol
_atom_site_fract_x
_atom_site_fract_y
_atom_site_fract_z
Nd1 Nd 0.0000 0.0000 0.0000
Ag1 Ag 0.0000 0.2149 0.5000
Ag2 Ag 0.0000 0.3514 0.0000
Ag3 Ag 0.2500 0.2500 0.2500

=====

# ZrReBiI2 (PBE-GGA, optimized geometry)
# Crystal system ... tetragonal
# E_form (uncorrected) ... 4.35 eV/f.u.
data_ZrReBiI2
_space_group_name_H-M_alt 'P 4/m m m'
_space_group_IT_number 123
_space_group_name_Hall '-P 4 2'
_cell_length_a 5.2881
_cell_length_b 5.2881
_cell_length_c 5.3070
_cell_angle_alpha 90.00
_cell_angle_beta 90.00
_cell_angle_gamma 90.00
loop_
_atom_site_label
_atom_site_type_symbol
_atom_site_fract_x
_atom_site_fract_y
_atom_site_fract_z
Zr1 Zr 0.0000 0.0000 0.0000
Re1 Re 0.0000 0.0000 0.5000
Bi1 Bi 0.5000 0.5000 0.0000
I1 I 0.0000 0.5000 0.5000

=====

DOS at the Fermi energy: 5.52, 4.19, 3.36, 39.32, 36.63, 7.19, 9.82, 4.26 (states/eV per cell)
Size of the total moment: 0.513, 0.000, 0.000, 0.000, 0.101, 0.000, 0.000, 0.002 (μB per atom)